Entry 1:
Compound: La4InRh2
Source: the Alexandria database
Functional: PBE
Structure: optimized geometry

Fermi-level density of states in states/eV/cell: 7.7
E in eV/cell: -40.69

extended XYZ file:
```
7
Lattice="2.464 1.422 9.826 -2.464 1.422 9.826 0.000 -2.845 9.826" Properties=species:S:1:pos:R:3 pbc="T T T"
La 0.000 0.000 3.343
La 0.000 0.000 8.685
La 0.000 0.000 20.793
La 0.000 0.000 26.135
In 0.000 0.000 14.739
Rh 0.000 0.000 11.802
Rh 0.000 0.000 17.676
```

---

Entry 2:
Compound: Sm2Tm5Th2
Source: the Alexandria database
Functional: PBE
Structure: optimized geometry

Polymorph energy (0 for the lowest one) in eV/atom: 0.0000
Fermi-level density of states in states/eV/cell: 27.3
E in eV/cell: -88.94

extended XYZ file:
```
18
Lattice="-7.413 5.908 3.302 7.413 -5.908 3.302 7.413 5.908 -3.302" Properties=species:S:1:pos:R:3 pbc="T T T"
Sm 1.873 0.006 0.000
Sm 5.540 0.006 0.000
Sm 1.873 5.902 3.302
Sm 5.540 5.902 3.302
Tm 3.707 2.811 -0.984
Tm 9.524 3.205 -0.964
Tm 5.303 -2.703 2.338
Tm 0.794 3.038 1.039
Tm 6.619 3.038 1.039
Tm -2.111 2.703 2.338
Tm 9.524 2.703 2.338
Tm 3.707 3.097 2.318
Tm -0.794 8.778 1.039
Tm 0.794 2.870 4.341
Th 0.000 0.000 3.037
Th 7.413 0.000 3.037
Th 3.707 -0.039 3.572
Th 3.707 5.947 0.271
```

---

Entry 3:
Compound: HoScGeAu
Source: the Alexandria database
Functional: PBE
Structure: optimized geometry

Fermi-level density of states in states/eV/cell: 4.0
E in eV/cell: -21.71

extended XYZ file:
```
4
Lattice="0.000 3.488 3.488 3.488 0.000 3.488 3.488 3.488 0.000" Properties=species:S:1:pos:R:3 pbc="T T T"
Ho 0.000 0.000 0.000
Sc 3.488 3.488 3.488
Ge 5.232 5.232 5.232
Au 1.744 1.744 1.744
```

---

Entry 4:
Compound: CeTiTcPd
Source: the Alexandria database
Functional: PBE
Structure: optimized geometry

Fermi-level density of states in states/eV/cell: 4.0
E in eV/cell: -30.55

extended XYZ file:
```
4
Lattice="0.000 3.320 3.320 3.320 0.000 3.320 3.320 3.320 0.000" Properties=species:S:1:pos:R:3 pbc="T T T"
Ce 0.000 0.000 0.000
Ti 3.320 3.320 3.320
Tc 1.660 1.660 1.660
Pd 4.979 4.979 4.979
```

---

Entry 5:
Compound: Sr4Ge2Pb5
Source: the Alexandria database
Functional: PBE
Structure: optimized geometry

Fermi-level density of states in states/eV/cell: 5.0
E in eV/cell: -39.21

extended XYZ file:
```
11
Lattice="7.992 0.000 0.000 0.000 4.836 0.000 -0.697 0.000 9.382" Properties=species:S:1:pos:R:3 pbc="T T T"
Sr 1.426 0.000 3.384
Sr 1.248 0.000 8.497
Sr 6.047 0.000 0.885
Sr 5.870 0.000 5.998
Ge 0.528 2.418 1.157
Ge 6.767 2.418 8.225
Pb 0.657 2.418 5.961
Pb 3.396 2.418 1.472
Pb 3.648 2.418 4.691
Pb 3.900 2.418 7.910
Pb 6.639 2.418 3.421
```

---

Entry 6:
Compound: V2NiPt5
Source: the Alexandria database
Functional: PBE
Structure: optimized geometry

Fermi-level density of states in states/eV/cell: 17.9
E in eV/cell: -115.34

extended XYZ file:
```
16
Lattice="5.484 0.000 0.000 0.000 10.948 0.000 0.000 0.000 3.875" Properties=species:S:1:pos:R:3 pbc="T T T"
V 1.365 1.351 0.000
V 1.377 6.825 0.000
V 4.107 4.123 0.000
V 4.119 9.597 0.000
Ni 0.000 5.474 1.938
Ni 2.742 0.000 1.938
Pt 0.000 0.000 1.938
Pt 0.060 8.168 1.938
Pt 1.295 4.178 0.000
Pt 1.447 9.652 0.000
Pt 2.682 2.695 1.938
Pt 2.742 5.474 1.938
Pt 2.802 8.253 1.938
Pt 4.037 1.295 0.000
Pt 4.190 6.769 0.000
Pt 5.424 2.779 1.938
```

---

Entry 7:
Compound: TbPm2Pr5Er
Source: the Alexandria database
Functional: PBE
Structure: optimized geometry

Fermi-level density of states in states/eV/cell: 28.8
E in eV/cell: -80.14

extended XYZ file:
```
18
Lattice="-4.340 4.340 8.427 4.340 -4.340 8.427 4.340 4.340 -8.427" Properties=species:S:1:pos:R:3 pbc="T T T"
Tb 0.000 0.000 4.213
Tb 0.000 0.000 12.640
Pm 5.392 1.052 0.000
Pm 1.052 3.288 0.000
Pm 3.288 1.052 8.427
Pm -1.052 3.288 8.427
Pr 0.000 0.000 0.000
Pr 2.458 1.882 -2.408
Pr 2.458 -1.882 6.019
Pr 2.458 1.882 2.408
Pr 2.458 -1.882 10.835
Pr 0.000 0.000 8.427
Pr 1.882 6.221 -2.408
Pr 1.882 2.458 6.019
Pr 1.882 6.221 2.408
Pr 1.882 2.458 10.835
Er 4.340 0.000 4.213
Er 0.000 4.340 4.213
```

---

Entry 8:
Compound: Th2Be3ZnIr4
Source: the Alexandria database
Functional: PBE
Structure: optimized geometry

Fermi-level density of states in states/eV/cell: 4.3
E in eV/cell: -69.54

extended XYZ file:
```
10
Lattice="4.079 0.000 0.000 0.000 4.079 0.000 0.000 0.000 9.887" Properties=species:S:1:pos:R:3 pbc="T T T"
Th 0.000 2.039 2.318
Th 2.039 0.000 7.569
Be 0.000 2.039 8.792
Be 2.039 0.000 1.094
Be 2.039 2.039 4.943
Zn 0.000 0.000 4.943
Ir 0.000 0.000 0.000
Ir 0.000 2.039 6.423
Ir 2.039 0.000 3.463
Ir 2.039 2.039 0.000
```

---

Entry 9:
Compound: LaTi2C
Source: the Alexandria database
Functional: PBE
Structure: optimized geometry

Fermi-level density of states in states/eV/cell: 4.1
E in eV/cell: -30.96

extended XYZ file:
```
4
Lattice="1.561 0.901 8.622 -1.561 0.901 8.622 0.000 -1.802 8.622" Properties=species:S:1:pos:R:3 pbc="T T T"
La 0.000 0.000 0.000
Ti 0.000 0.000 3.185
Ti 0.000 0.000 22.682
C 0.000 0.000 12.934
```

---

Entry 10:
Compound: Tb3DyTl2O
Source: the Alexandria database
Functional: PBE
Structure: optimized geometry

Fermi-level density of states in states/eV/cell: 2.3
E_form (uncorrected) in eV/f.u.: -7.41
E in eV/cell: -35.60

extended XYZ file:
```
7
Lattice="-2.322 2.333 8.253 2.322 -2.333 8.253 2.322 2.333 -8.253" Properties=species:S:1:pos:R:3 pbc="T T T"
Tb 0.000 0.000 0.000
Tb 2.322 0.000 5.425
Tb 0.000 2.333 2.828
Dy 0.000 0.000 8.253
Tl 2.322 0.000 2.298
Tl 0.000 2.333 5.955
O 0.000 2.333 0.000
```

---

Entry 11:
Compound: SmH7Pt4
Source: the Alexandria database
Functional: PBE
Structure: optimized geometry

Fermi-level density of states in states/eV/cell: 6.3
E in eV/cell: -110.25

extended XYZ file:
```
24
Lattice="6.878 -3.501 0.000 6.878 3.501 0.000 0.000 0.000 5.327" Properties=species:S:1:pos:R:3 pbc="T T T"
Sm 6.878 1.805 3.995
Sm 6.878 -1.805 1.332
H 4.725 1.746 2.691
H 4.725 1.746 5.299
H 3.432 0.066 1.332
H 3.432 -0.066 3.995
H 6.878 0.872 1.332
H 9.031 1.746 2.691
H 9.031 1.746 5.299
H 4.725 -1.746 0.028
H 4.725 -1.746 2.636
H 6.878 -0.872 3.995
H 10.323 0.066 1.332
H 10.323 -0.066 3.995
H 9.031 -1.746 0.028
H 9.031 -1.746 2.636
Pt 2.159 0.000 0.000
Pt 2.159 0.000 2.664
Pt 5.128 0.713 1.332
Pt 5.128 -0.713 3.995
Pt 8.627 0.713 1.332
Pt 8.627 -0.713 3.995
Pt 11.597 0.000 0.000
Pt 11.597 0.000 2.664
```

---

Entry 12:
Compound: Sn2PbF
Source: the Alexandria database
Functional: PBE
Structure: optimized geometry

Polymorph energy (0 for the lowest one) in eV/atom: 0.0000
Fermi-level density of states in states/eV/cell: 4.6
E_form (uncorrected) in eV/f.u.: -2.06
E in eV/cell: -31.28

extended XYZ file:
```
8
Lattice="-2.680 2.680 8.035 2.680 -2.680 8.035 2.680 2.680 -8.035" Properties=species:S:1:pos:R:3 pbc="T T T"
Sn 4.020 0.762 -2.009
Sn 0.762 1.340 2.009
Sn -1.340 1.918 6.026
Sn 1.918 1.340 10.044
Pb 2.680 0.000 4.017
Pb 0.000 0.000 8.035
F 0.000 0.000 0.000
F 0.000 2.680 4.017
```

---

Please write out number 12 again, unchanged.
Compound: Sn2PbF
Source: the Alexandria database
Functional: PBE
Structure: optimized geometry

Polymorph energy (0 for the lowest one) in eV/atom: 0.0000
Fermi-level density of states in states/eV/cell: 4.6
E_form (uncorrected) in eV/f.u.: -2.06
E in eV/cell: -31.28

extended XYZ file:
```
8
Lattice="-2.680 2.680 8.035 2.680 -2.680 8.035 2.680 2.680 -8.035" Properties=species:S:1:pos:R:3 pbc="T T T"
Sn 4.020 0.762 -2.009
Sn 0.762 1.340 2.009
Sn -1.340 1.918 6.026
Sn 1.918 1.340 10.044
Pb 2.680 0.000 4.017
Pb 0.000 0.000 8.035
F 0.000 0.000 0.000
F 0.000 2.680 4.017
```

---

Fermi-level density of states of number 9 (LaTi2C)?
4.1 states/eV/cell

---

Which value of Fermi-level density of states does entry 2 give?
27.3 states/eV/cell